SmZn2Ag | PBE-GGA | optimized geometry

a b c (Å): 7.064 4.420 10.244
angles (deg): 90.00 90.00 90.00
Space group Pnma (No. 62)
Symmetry-distinct sites (fractional):
Sm 0.219 0.250 0.170 (multiplicity 4)
Zn 0.084 0.250 0.854 (multiplicity 4)
Zn 0.198 0.750 0.962 (multiplicity 4)
Ag 0.035 0.750 0.402 (multiplicity 4)

Computed properties:
Magnetization (μB per formula unit): 0.00
Formation enthalpy at 0 K (kcal/mol of atoms): -7.446